Entry from Alexandria: a relaxed structure of BaHfSeBr2 (PBE).

Cell: 5.968 5.968 6.390 Å, 90.00 90.00 90.00°
Space group P4/mmm (No. 123)
Asymmetric unit:
Ba 0.000 0.000 0.000 x1
Hf 0.500 0.500 0.500 x1
Se 0.000 0.000 0.500 x1
Br 0.000 0.500 0.000 x2

Magnetic moment = 0.12 μB/cell
Crystal system = tetragonal
ΔE_f (raw) = 7.4 kJ per mole of atoms
Energy relative to the lowest polymorph listed for this composition = 1.2596 eV per atom
Final energy = -18.32 eV for the cell shown